VASP calculation (PBE) on an optimized crystal structure of Ta2Ru5Rh.

a = 3.887 Å, b = 5.533 Å, c = 11.067 Å
α = 90.00°, β = 90.00°, γ = 90.00°
Positions (direct):
Ta  0.500  0.248  0.375
Ta  0.500  0.752  0.625
Ta  0.500  0.252  0.875
Ta  0.500  0.748  0.125
Ru  0.500  0.246  0.126
Ru  0.500  0.754  0.874
Ru  0.500  0.746  0.374
Ru  0.500  0.254  0.626
Ru  0.000  0.006  0.749
Ru  0.000  0.994  0.251
Ru  0.000  0.506  0.751
Ru  0.000  0.494  0.249
Ru  0.000  0.500  0.500
Ru  0.000  0.000  0.000
Rh  0.000  0.000  0.500
Rh  0.000  0.500  0.000

* space group: Pbam


VASP calculation (PBE) on an optimized crystal structure of Ta3Ru2Rh2.

a = 4.355 Å, b = 4.357 Å, c = 7.677 Å
α = 90.01°, β = 106.47°, γ = 120.01°
Positions (direct):
Ta  0.000  0.000  0.000
Ta  0.490  0.245  0.735
Ta  0.510  0.755  0.265
Ru  0.752  0.376  0.127
Ru  0.248  0.624  0.873
Rh  0.254  0.127  0.380
Rh  0.746  0.873  0.620

* space group: R-3m


These records have DFT total energy values of -9.93 -10.08 eV per atom, in the order they appear.